No. 1
Entry from Alexandria: a geometry-optimized Na2Fe3P3O12 structure (GGA+U).

It has space group C2/c (No. 15), with a = 11.931 Å, b = 12.637 Å, c = 6.608 Å, α = 90.00°, β = 114.17° and γ = 90.00°. The asymmetric unit holds Na at (0.000, 0.000, 0.000), Na at (0.000, 0.484, 0.250), Fe at (0.000, 0.231, 0.750), Fe at (0.219, 0.337, 0.625), P at (0.000, 0.210, 0.250), P at (0.234, 0.392, 0.117), O at (0.042, 0.282, 0.462), O at (0.102, 0.135, 0.253), O at (0.128, 0.100, 0.833), O at (0.160, 0.336, 0.888), O at (0.172, 0.499, 0.605) and O at (0.221, 0.325, 0.306).

As for the calculated total energy: -6.815 eV per atom.

No. 2
Entry from Alexandria: a geometry-optimized NaFeP2O6 structure (GGA+U).

It has space group C2/c (No. 15), with a = 9.525 Å, b = 9.358 Å, c = 5.646 Å, α = 90.00°, β = 103.28° and γ = 90.00°. The asymmetric unit holds Na at (0.000, 0.096, 0.250), Fe at (0.000, 0.290, 0.750), P at (0.202, 0.412, 0.258), O at (0.118, 0.288, 0.118), O at (0.134, 0.112, 0.670) and O at (0.158, 0.440, 0.631).

As for the calculated total energy: -6.546 eV per atom.

Question: Which formula does entry 2 have?
Answer: NaFeP2O6